Compound: ZnInSnW2
Source: Alexandria
Functional: GGA-PBE
Structure: relaxed

Unit cell a=5.0296 b=5.0296 c=5.3487 alpha=90.00 beta=90.00 gamma=90.00
Space group P4/mmm (No. 123)
Asymmetric unit:
Zn (0.0000, 0.0000, 0.0000)
In (0.5000, 0.5000, 0.5000)
Sn (0.5000, 0.5000, 0.0000)
W (0.0000, 0.5000, 0.5000)

Properties
Formation enthalpy at 0 K ... 244.5 kJ per mole of atoms



Compound: Zn2CoOs
Source: Alexandria
Functional: GGA-PBE
Structure: relaxed

Unit cell a=2.8170 b=4.4599 c=8.5990 alpha=90.00 beta=90.00 gamma=90.00
Space group Cmmm (No. 65)
Asymmetric unit:
Zn (0.0000, 0.0000, 0.2370)
Co (0.0000, 0.5000, 0.0000)
Os (0.0000, 0.5000, 0.5000)

Properties
Formation enthalpy at 0 K ... 19.7 kJ per mole of atoms



The records above give, respectively, magnetization values of 0.0, 2.8 Bohr magnetons per cell.